1.
VASP calculation (GGA-PBE) on an optimized crystal structure of Zn2Rh.

Cell: 2.8063 2.8063 6.3581 Å, 90.00 90.00 120.00°
Atoms (fractional coordinates):
Zn (0.3333, 0.6667, 0.3256)
Zn (0.6667, 0.3333, 0.6744)
Rh (0.0000, 0.0000, 0.0000)

2.
VASP calculation (GGA-PBE) on an optimized crystal structure of ZnRh3.

Cell: 4.6818 4.6818 2.7367 Å, 90.00 90.00 109.87°
Atoms (fractional coordinates):
Rh (0.5000, 0.0000, 0.5000)
Rh (0.0000, 0.5000, 0.5000)
Rh (0.0000, 0.0000, 0.0000)
Zn (0.5000, 0.5000, 0.0000)

3.
VASP calculation (GGA-PBE) on an optimized crystal structure of ZnRh2.

Cell: 5.1109 5.1109 10.2070 Å, 139.61 139.61 31.20°
Atoms (fractional coordinates):
Zn (0.3317, 0.3317, 0.6664)
Zn (0.7794, 0.7794, 0.0558)
Rh (0.4360, 0.4360, 0.3796)
Rh (0.1138, 0.1138, 0.7245)
Rh (0.6751, 0.6751, 0.3426)
Rh (0.9973, 0.9973, 0.9977)

no.,energy relative to the elements (eV/atom),volume (Å³ per atom)
1,-0.178,14.45
2,-0.139,14.10
3,-0.195,14.09